[1]
Ag3OsS: relaxed, GGA-PBE.

a b c (Å): 5.1001 5.1001 5.1001
angles (deg): 90.00 90.00 90.00
Last column: nearest neighbours and their distance in Å.
Sites, in units of the cell vectors:
Ag (0.0000, 0.0000, 0.5000)  2 Os 2.55
Ag (0.5000, 0.0000, 0.0000)  2 Os 2.55
Ag (0.0000, 0.5000, 0.0000)  2 Os 2.55
Os (0.0000, 0.0000, 0.0000)  6 Ag 2.55
S (0.5000, 0.5000, 0.5000)  12 Ag 3.61

Summary:
* ΔE_f (raw): 1.6887 eV/atom
* offset from the most stable computed form: 1.78 eV per formula unit
* final energy: -3.094 eV/atom

[2]
Nb2RuRh2: relaxed, GGA-PBE.

a b c (Å): 3.9059 4.8380 4.9589
angles (deg): 78.38 66.81 66.19
Last column: nearest neighbours and their distance in Å.
Sites, in units of the cell vectors:
Rh (0.1956, 0.2071, 0.4017)  6 Nb 2.71-2.85, 3 Rh 2.79-2.80, 3 Ru 2.83-2.86
Rh (0.8044, 0.7929, 0.5983)  6 Nb 2.71-2.85, 3 Rh 2.79-2.80, 3 Ru 2.83-2.86
Nb (0.4224, 0.3604, 0.7947)  2 Ru 2.66, 6 Rh 2.71-2.85, 1 Nb 2.90
Nb (0.5776, 0.6396, 0.2053)  2 Ru 2.66, 6 Rh 2.71-2.85, 1 Nb 2.90
Ru (0.0000, 0.0000, 0.0000)  4 Nb 2.66, 6 Rh 2.83-2.86

Summary:
* energy of formation from the pure elements: -0.31 eV/atom
* offset from the most stable computed form: 0.00 eV per formula unit
* final energy: -9.138 eV/atom

[3]
EuInAu: relaxed, GGA-PBE.

a b c (Å): 3.7508 3.7508 6.0759
angles (deg): 107.98 107.98 90.00
Last column: nearest neighbours and their distance in Å.
Sites, in units of the cell vectors:
Eu (0.9420, 0.9420, 0.8841)  5 Au 3.26-3.57, 5 In 3.31-3.42
Au (0.2683, 0.2683, 0.5367)  4 In 3.00, 4 Eu 3.26
In (0.6396, 0.6396, 0.2792)  4 Au 3.00, 1 Eu 3.31

Summary:
* energy of formation from the pure elements: -0.52 eV/atom
* final energy: -5.947 eV/atom

[4]
TcHg3O6: relaxed, GGA-PBE.

a b c (Å): 6.6799 6.6799 6.6799
angles (deg): 92.10 92.10 92.10
Last column: nearest neighbours and their distance in Å.
Sites, in units of the cell vectors:
O (0.5884, 0.3375, 0.2781)  1 Tc 1.93
O (0.7176, 0.0250, 0.9643)  1 Tc 1.91
O (0.4116, 0.6625, 0.7219)  1 Tc 1.93
O (0.0357, 0.2824, 0.9750)  1 Tc 1.91
O (0.2824, 0.9750, 0.0357)  1 Tc 1.91
O (0.3375, 0.2781, 0.5884)  1 Tc 1.93
O (0.0250, 0.9643, 0.7176)  1 Tc 1.91
O (0.2781, 0.5884, 0.3375)  1 Tc 1.93
O (0.7219, 0.4116, 0.6625)  1 Tc 1.93
O (0.9750, 0.0357, 0.2824)  1 Tc 1.91
O (0.6625, 0.7219, 0.4116)  1 Tc 1.93
O (0.9643, 0.7176, 0.0250)  1 Tc 1.91
Hg (0.7270, 0.4564, 0.0062)  4 O 2.23-2.42
Hg (0.0062, 0.7270, 0.4564)  4 O 2.23-2.42
Hg (0.4564, 0.0062, 0.7270)  4 O 2.23-2.42
Hg (0.2730, 0.5436, 0.9938)  4 O 2.23-2.42
Hg (0.9938, 0.2730, 0.5436)  4 O 2.23-2.42
Hg (0.5436, 0.9938, 0.2730)  4 O 2.23-2.42
Tc (0.5000, 0.5000, 0.5000)  6 O 1.93
Tc (0.0000, 0.0000, 0.0000)  6 O 1.91

Summary:
* ΔE_f (raw): -0.5710 eV/atom
* final energy: -4.673 eV/atom

[5]
Zr2B2W: relaxed, GGA-PBE.

a b c (Å): 6.3549 6.3549 3.4431
angles (deg): 90.00 90.00 90.00
Last column: nearest neighbours and their distance in Å.
Sites, in units of the cell vectors:
B (0.3967, 0.8967, 0.0000)  1 B 1.86
B (0.8967, 0.6033, 0.0000)  1 B 1.86
B (0.1033, 0.3967, 0.0000)  1 B 1.86
B (0.6033, 0.1033, 0.0000)  1 B 1.86
W (0.5000, 0.5000, 0.0000)  4 B 2.61, 8 Zr 2.89
W (0.0000, 0.0000, 0.0000)  4 B 2.61, 8 Zr 2.89
Zr (0.8163, 0.3163, 0.5000)  6 B 2.56-2.57
Zr (0.3163, 0.1837, 0.5000)  6 B 2.56-2.57
Zr (0.1837, 0.6837, 0.5000)  6 B 2.56-2.57
Zr (0.6837, 0.8163, 0.5000)  6 B 2.56-2.57

Summary:
* energy of formation from the pure elements: -0.50 eV/atom
* final energy: -9.185 eV/atom

[6]
Ir3AuSe: relaxed, GGA-PBE.

a b c (Å): 4.8910 4.8910 4.8910
angles (deg): 90.00 90.00 90.00
Last column: nearest neighbours and their distance in Å.
Sites, in units of the cell vectors:
Au (0.0000, 0.0000, 0.0000)  6 Ir 2.45
Ir (0.0000, 0.0000, 0.5000)  2 Au 2.45
Ir (0.5000, 0.0000, 0.0000)  2 Au 2.45
Ir (0.0000, 0.5000, 0.0000)  2 Au 2.45
Se (0.5000, 0.5000, 0.5000)  12 Ir 3.46

Summary:
* ΔE_f (raw): 2.3940 eV/atom
* offset from the most stable computed form: 5.63 eV per formula unit
* final energy: -4.275 eV/atom

[7]
Ba2GaSi3Au12: relaxed, GGA-PBE.

a b c (Å): 8.4132 8.4132 8.4132
angles (deg): 63.85 63.85 63.85
Last column: nearest neighbours and their distance in Å.
Sites, in units of the cell vectors:
Au (0.3223, 0.3223, 0.8731)  2 Si 2.45
Au (0.1269, 0.6777, 0.6777)  2 Si 2.45
Au (0.6777, 0.1269, 0.6777)  2 Si 2.45
Au (0.1115, 0.1115, 0.6423)  1 Si 2.44, 1 Ga 2.57
Au (0.1115, 0.6423, 0.1115)  1 Si 2.44, 1 Ga 2.57
Au (0.3223, 0.8731, 0.3223)  2 Si 2.45
Au (0.6423, 0.1115, 0.1115)  1 Si 2.44, 1 Ga 2.57
Au (0.8731, 0.3223, 0.3223)  2 Si 2.45
Au (0.6777, 0.6777, 0.1269)  2 Si 2.45
Au (0.8885, 0.3577, 0.8885)  1 Si 2.44, 1 Ga 2.57
Au (0.8885, 0.8885, 0.3577)  1 Si 2.44, 1 Ga 2.57
Au (0.3577, 0.8885, 0.8885)  1 Si 2.44, 1 Ga 2.57
Ba (0.6123, 0.6123, 0.6123)  9 Au 3.37-3.69
Ba (0.3877, 0.3877, 0.3877)  9 Au 3.37-3.69
Si (0.0000, 0.0000, 0.5000)  6 Au 2.44-2.45
Si (0.0000, 0.5000, 0.0000)  6 Au 2.44-2.45
Si (0.5000, 0.0000, 0.0000)  6 Au 2.44-2.45
Ga (0.0000, 0.0000, 0.0000)  6 Au 2.57

Summary:
* ΔE_f (raw): -0.1513 eV/atom
* final energy: -3.622 eV/atom

[8]
AlTc2Hg: relaxed, GGA-PBE.

a b c (Å): 4.7545 4.7545 4.9216
angles (deg): 81.53 81.53 35.90
Last column: nearest neighbours and their distance in Å.
Sites, in units of the cell vectors:
Tc (0.0072, 0.0072, 0.9641)  5 Tc 2.68-2.93, 2 Al 2.69, 3 Hg 2.83-2.93
Tc (0.7480, 0.7480, 0.7647)  5 Tc 2.68-2.93, 3 Al 2.79, 4 Hg 2.85-2.88
Al (0.4929, 0.4929, 0.5108)  3 Hg 2.67-2.87, 5 Tc 2.69-2.79, 2 Al 2.93
Hg (0.2518, 0.2518, 0.2604)  3 Al 2.67-2.87, 7 Tc 2.83-2.93, 2 Hg 2.93

Summary:
* energy of formation from the pure elements: 0.25 eV/atom
* offset from the most stable computed form: 0.91 eV per formula unit
* final energy: -5.948 eV/atom

[9]
BeInAg2: relaxed, GGA-PBE.

a b c (Å): 4.5881 4.5881 4.5881
angles (deg): 60.00 60.00 60.00
Last column: nearest neighbours and their distance in Å.
Sites, in units of the cell vectors:
Be (0.5000, 0.5000, 0.5000)  4 In 2.81, 4 Ag 2.81
In (0.2500, 0.2500, 0.2500)  4 Be 2.81, 4 Ag 2.81
Ag (0.7500, 0.7500, 0.7500)  4 Ag 2.81, 4 Be 2.81
Ag (0.0000, 0.0000, 0.0000)  4 In 2.81, 4 Ag 2.81

Summary:
* energy of formation from the pure elements: 0.28 eV/atom
* offset from the most stable computed form: 0.55 eV per formula unit
* final energy: -2.767 eV/atom

[10]
CsLa2ScB: relaxed, GGA-PBE.

a b c (Å): 5.6109 5.0387 5.6109
angles (deg): 90.00 90.00 90.00
Last column: nearest neighbours and their distance in Å.
Sites, in units of the cell vectors:
Cs (0.5000, 0.5000, 0.5000)  8 La 3.77, 4 Sc 3.97
La (0.0000, 0.0000, 0.5000)  2 B 2.81
La (0.5000, 0.0000, 0.0000)  2 B 2.81
B (0.0000, 0.0000, 0.0000)  2 Sc 2.52, 4 La 2.81
Sc (0.0000, 0.5000, 0.0000)  2 B 2.52

Summary:
* energy of formation from the pure elements: 0.44 eV/atom
* final energy: -4.308 eV/atom

[11]
Bi2PPtCl: relaxed, GGA-PBE.

a b c (Å): 5.8058 4.3035 5.8058
angles (deg): 90.00 90.00 90.00
Last column: nearest neighbours and their distance in Å.
Sites, in units of the cell vectors:
Bi (0.0000, 0.0000, 0.5000)  2 Pt 2.90
Bi (0.5000, 0.0000, 0.0000)  2 Pt 2.90
Pt (0.0000, 0.0000, 0.0000)  2 P 2.15
P (0.0000, 0.5000, 0.0000)  2 Pt 2.15
Cl (0.5000, 0.5000, 0.5000)  8 Bi 3.61

Summary:
* ΔE_f (raw): 0.1518 eV/atom
* offset from the most stable computed form: 0.00 eV per formula unit
* final energy: -4.060 eV/atom

[12]
Th2CuNi: relaxed, GGA-PBE.

a b c (Å): 3.5157 3.5157 7.1603
angles (deg): 90.00 90.00 90.00
Last column: nearest neighbours and their distance in Å.
Sites, in units of the cell vectors:
Cu (0.5000, 0.5000, 0.5000)  8 Th 3.11
Th (0.0000, 0.0000, 0.2380)  4 Ni 3.01, 4 Cu 3.11
Th (0.0000, 0.0000, 0.7620)  4 Ni 3.01, 4 Cu 3.11
Ni (0.5000, 0.5000, 0.0000)  8 Th 3.01

Summary:
* energy of formation from the pure elements: -0.16 eV/atom
* final energy: -6.340 eV/atom

[13]
BaZrOs2: relaxed, GGA-PBE.

a b c (Å): 5.5710 5.5710 3.0488
angles (deg): 78.10 78.10 112.88
Last column: nearest neighbours and their distance in Å.
Sites, in units of the cell vectors:
Os (0.0000, 0.0000, 0.0000)  2 Zr 2.89, 2 Ba 2.89, 4 Os 3.05-3.08
Os (0.5000, 0.5000, 0.0000)  2 Ba 2.89, 2 Zr 2.89, 4 Os 3.05-3.08
Ba (0.0000, 0.5000, 0.5000)  4 Os 2.89, 2 Ba 3.05, 2 Zr 3.08
Zr (0.5000, 0.0000, 0.5000)  4 Os 2.89, 2 Zr 3.05, 2 Ba 3.08

Summary:
* energy of formation from the pure elements: 1.04 eV/atom
* offset from the most stable computed form: 3.36 eV per formula unit
* final energy: -7.195 eV/atom